Material: Rb3W2F9
Method: DFT, GGA+U
State: relaxed

abc: 8.0580 8.0580 8.0580
angles: 86.29 86.29 86.29
Sites, in units of the cell vectors:
Rb: 0.9027 0.5973 0.2500
Rb: 0.4027 0.7500 0.0973
Rb: 0.5973 0.2500 0.9027
Rb: 0.0973 0.4027 0.7500
Rb: 0.2500 0.9027 0.5973
Rb: 0.7500 0.0973 0.4027
W: 0.8521 0.8521 0.8521
W: 0.1479 0.1479 0.1479
W: 0.3521 0.3521 0.3521
W: 0.6479 0.6479 0.6479
F: 0.3957 0.1043 0.2500
F: 0.1043 0.2500 0.3957
F: 0.9197 0.0802 0.7444
F: 0.5803 0.7556 0.4198
F: 0.0802 0.7444 0.9197
F: 0.2556 0.0803 0.9198
F: 0.2444 0.5802 0.4197
F: 0.4198 0.5803 0.7556
F: 0.6043 0.8957 0.7500
F: 0.8957 0.7500 0.6043
F: 0.9198 0.2556 0.0803
F: 0.7500 0.6043 0.8957
F: 0.0803 0.9198 0.2556
F: 0.7444 0.9197 0.0802
F: 0.4197 0.2444 0.5802
F: 0.2500 0.3957 0.1043
F: 0.7556 0.4198 0.5803
F: 0.5802 0.4197 0.2444

Values from the calculation:
**Energy**: -5.09 eV per atom
**SG**: R-3c
**Size of the total moment**: 0.4286 μB/atom